# 1
This record from the Alexandria database describes HgPbCl at its PBEsol-relaxed geometry. The functional is SCAN.

The total magnetization is 0.000 μB/atom. Its volume is 30.19 Å³/atom. Its uncorrected formation energy is -0.264 eV per atom.

The space group is F-43m (No. 216) and the conventional cell measures 7.129, 7.129 and 7.129 Å, with angles of 90.00, 90.00 and 90.00 degrees. The inequivalent atoms are Hg at (0.000, 0.000, 0.000), Pb at (0.250, 0.250, 0.250) and Cl at (0.000, 0.000, 0.500).

***

# 2
This record from the Alexandria database describes HgPbCl2 at its PBEsol-relaxed geometry. The functional is SCAN.

The total magnetization is 0.000 μB/atom. Its volume is 29.54 Å³/atom. Its uncorrected formation energy is -0.792 eV per atom.

The space group is Cm (No. 8) and the conventional cell measures 10.104, 3.870 and 6.572 Å, with angles of 90.00, 113.12 and 90.00 degrees. The inequivalent atoms are Hg at (0.000, 0.000, 0.000), Pb at (0.193, 0.500, 0.402), Cl at (0.224, 0.000, 0.725) and Cl at (0.396, 0.000, 0.360).

***

# 3
This record from the Alexandria database describes HgPbCl2 at its PBEsol-relaxed geometry. The functional is SCAN.

The total magnetization is 0.000 μB/atom. Its volume is 24.13 Å³/atom. Its uncorrected formation energy is -0.608 eV per atom.

The space group is P4/mmm (No. 123) and the conventional cell measures 4.822, 4.822 and 4.152 Å, with angles of 90.00, 90.00 and 90.00 degrees. The inequivalent atoms are Hg at (0.000, 0.000, 0.000), Pb at (0.500, 0.500, 0.000) and Cl at (0.000, 0.500, 0.500).

***

# 4
This record from the Alexandria database describes HgPbCl2 at its PBEsol-relaxed geometry. The functional is SCAN.

The total magnetization is 0.000 μB/atom. Its volume is 33.45 Å³/atom. Its uncorrected formation energy is -0.825 eV per atom.

The space group is C2/m (No. 12) and the conventional cell measures 7.321, 4.223 and 8.977 Å, with angles of 90.00, 105.41 and 90.00 degrees. The inequivalent atoms are Hg at (0.000, 0.000, 0.000), Pb at (0.000, 0.500, 0.500) and Cl at (0.224, 0.000, 0.677).

***

# 5
This record from the Alexandria database describes HgPbCl at its PBEsol-relaxed geometry. The functional is SCAN.

The total magnetization is 0.000 μB/atom. Its volume is 25.04 Å³/atom. Its uncorrected formation energy is -0.341 eV per atom.

The space group is I4mm (No. 107) and the conventional cell measures 3.738, 3.738 and 10.752 Å, with angles of 90.00, 90.00 and 90.00 degrees. The inequivalent atoms are Hg at (0.000, 0.000, 0.000), Pb at (0.000, 0.000, 0.338) and Cl at (0.000, 0.000, 0.679).

***

# 6
This record from the Alexandria database describes HgPbCl2 at its PBEsol-relaxed geometry. The functional is SCAN.

The total magnetization is 0.000 μB/atom. Its volume is 28.76 Å³/atom. Its uncorrected formation energy is -0.775 eV per atom.

The space group is Imm2 (No. 44) and the conventional cell measures 3.634, 4.738 and 13.363 Å, with angles of 90.00, 90.00 and 90.00 degrees. The inequivalent atoms are Hg at (0.000, 0.000, 0.000), Pb at (0.000, 0.500, 0.717), Cl at (0.000, 0.000, 0.374) and Cl at (0.000, 0.500, 0.187).